Below is GdHo2N after structural relaxation, with properties calculated at the PBE level.

```
GdHo2N
1.0
3.436 0.000 0.000
1.718 2.976 0.000
1.718 0.992 9.409
Ho Gd N
2 1 1
direct
0.880 0.880 0.359 Ho
0.120 0.120 0.641 Ho
0.000 0.000 0.000 Gd
0.500 0.500 0.500 N
```

E_form (uncorrected)   -701 meV per atom
Energy above the lowest structure with this stoichiometry   0.00 eV per formula unit
DFT total energy   -34.4 eV for the cell shown
Crystal system   trigonal
V   96 Å³/cell